1.
Entry from the Alexandria database: a relaxed structure of SrSmGa4 (PBE).

Cell and atoms, written as POSCAR:
```
SrSmGa4
1.0
0.000 4.019 4.019
4.019 0.000 4.019
4.019 4.019 0.000
Sr Sm Ga
1 1 4
Cartesian
0.000 0.000 0.000
6.029 6.029 6.029
3.019 3.019 3.019
5.020 5.020 3.019
5.020 3.019 5.020
3.019 5.020 5.020
```

Properties
DOS(E_F)   2.6 states/eV/cell
Formation energy   -43.9 kJ per mole of atoms

2.
Entry from the Alexandria database: a relaxed structure of CaNi2Se (PBE).

Cell and atoms, written as POSCAR:
```
CaNi2Se
1.0
3.568 -2.062 0.000
3.568 2.062 0.000
-2.408 0.000 4.914
Ca Ni Se
1 2 1
Cartesian
0.000 0.000 0.000
-0.015 0.000 2.874
4.743 0.000 2.040
2.364 0.000 2.457
```

Properties
DOS(E_F)   1.6 states/eV/cell
Total DFT energy (no corrections)   -4.63 eV/atom

3.
Entry from the Alexandria database: a relaxed structure of Li2ScTlS (PBE).

Cell and atoms, written as POSCAR:
```
Li2ScTlS
1.0
4.578 0.000 0.000
0.000 4.578 0.000
0.000 0.000 4.971
Li Sc Tl S
2 1 1 1
Cartesian
0.000 2.289 0.000
2.289 0.000 0.000
0.000 0.000 2.485
2.289 2.289 2.485
0.000 0.000 0.000
```

Properties
DOS(E_F)   4.1 states/eV/cell
Total DFT energy (no corrections)   -4.04 eV/atom

4.
Entry from the Alexandria database: a relaxed structure of SrMg2Ni (PBE).

Cell and atoms, written as POSCAR:
```
SrMg2Ni
1.0
3.923 0.000 0.000
0.000 4.319 0.000
-1.887 0.000 6.187
Sr Mg Ni
1 2 1
Cartesian
0.000 0.000 0.000
0.070 0.000 3.430
2.027 2.160 2.857
0.072 2.160 4.745
```

Properties
DOS(E_F)   2.5 states/eV/cell
Formation energy   5.9 kJ per mole of atoms

5.
Entry from the Alexandria database: a relaxed structure of Sr6Y (PBE).

Cell and atoms, written as POSCAR:
```
Sr6Y
1.0
-4.885 4.885 4.885
4.885 -4.885 4.885
4.885 4.885 -4.885
Sr Y
6 1
Cartesian
4.885 2.442 0.000
4.885 0.000 2.442
2.442 4.885 0.000
2.442 0.000 4.885
0.000 4.885 2.442
0.000 2.442 4.885
0.000 0.000 0.000
```

Properties
DOS(E_F)   16.5 states/eV/cell
Formation energy   125.2 kJ per mole of atoms

6.
Entry from the Alexandria database: a relaxed structure of SrTe2Pb (PBE).

Cell and atoms, written as POSCAR:
```
SrTe2Pb
1.0
2.308 1.333 8.041
-2.308 1.333 8.041
0.000 -2.665 8.041
Sr Te Pb
1 2 1
Cartesian
0.000 0.000 0.000
0.000 0.000 14.042
0.000 0.000 18.187
0.000 0.000 4.061
```

Properties
Total DFT energy (no corrections)   -3.92 eV/atom

7.
Entry from the Alexandria database: a relaxed structure of Na2Mg (PBE).

Cell and atoms, written as POSCAR:
```
Na2Mg
1.0
0.000 3.874 3.874
3.874 0.000 3.874
3.874 3.874 0.000
Na Mg
2 1
Cartesian
1.937 1.937 1.937
5.810 5.810 5.810
0.000 0.000 0.000
```

Properties
DOS(E_F)   1.4 states/eV/cell
Formation energy   25.9 kJ per mole of atoms

8.
Entry from the Alexandria database: a relaxed structure of K3Cd2Sn (PBE).

Cell and atoms, written as POSCAR:
```
K3Cd2Sn
1.0
5.731 -5.422 0.000
5.731 5.422 0.000
-2.162 0.000 8.543
K Cd Sn
6 4 2
Cartesian
4.110 3.893 6.407
3.502 0.769 0.092
2.421 -0.769 4.364
6.879 0.769 4.180
5.798 -0.769 8.451
5.191 -3.893 2.136
2.742 2.735 3.233
7.639 2.735 1.039
1.661 -2.735 7.505
6.558 -2.735 5.310
5.191 3.383 2.136
4.110 -3.383 6.407
```

Properties
DOS(E_F)   4.9 states/eV/cell
Formation energy   -8.0 kJ per mole of atoms

9.
Entry from the Alexandria database: a relaxed structure of Na2HfCdPd (PBE).

Cell and atoms, written as POSCAR:
```
Na2HfCdPd
1.0
5.262 0.000 0.000
0.000 5.262 0.000
0.000 0.000 5.048
Na Hf Cd Pd
2 1 1 1
Cartesian
0.000 2.631 0.000
2.631 0.000 0.000
0.000 0.000 2.524
2.631 2.631 2.524
0.000 0.000 0.000
```

Properties
DOS(E_F)   4.0 states/eV/cell
Formation energy   39.7 kJ per mole of atoms

10.
Entry from the Alexandria database: a relaxed structure of GdThMn4 (PBE).

Cell and atoms, written as POSCAR:
```
GdThMn4
1.0
0.000 3.695 3.695
3.695 0.000 3.695
3.695 3.695 0.000
Gd Th Mn
1 1 4
Cartesian
0.000 0.000 0.000
5.543 5.543 5.543
2.768 2.768 2.768
4.622 4.622 2.768
4.622 2.768 4.622
2.768 4.622 4.622
```

Properties
DOS(E_F)   5.0 states/eV/cell
Formation energy   7.8 kJ per mole of atoms

11.
Entry from the Alexandria database: a relaxed structure of Ni8PdRh6 (PBE).

Cell and atoms, written as POSCAR:
```
Ni8PdRh6
1.0
3.267 1.886 5.293
-3.267 1.886 5.293
0.000 -3.772 5.293
Ni Pd Rh
8 1 6
Cartesian
0.000 0.000 1.231
-0.452 -1.445 5.792
-1.026 1.114 5.792
-1.478 -0.332 10.088
1.478 0.332 5.792
1.026 -1.114 10.088
0.452 1.445 10.088
0.000 0.000 14.649
0.000 0.000 7.940
-2.427 -0.600 7.210
-0.695 -2.402 8.671
-1.733 1.802 8.671
1.733 -1.802 7.210
0.694 2.402 7.210
2.427 0.600 8.671
```

Properties
DOS(E_F)   24.2 states/eV/cell
Formation energy   16.6 kJ per mole of atoms

12.
Entry from the Alexandria database: a relaxed structure of Pm4Dy2Y5 (PBE).

Cell and atoms, written as POSCAR:
```
Pm4Dy2Y5
1.0
12.082 -1.777 0.000
12.082 1.777 0.000
-0.697 0.000 8.637
Pm Dy Y
4 2 5
Cartesian
0.717 0.000 2.968
6.540 0.000 1.496
16.927 0.000 7.141
22.750 0.000 5.669
9.745 0.000 2.628
13.722 0.000 6.009
3.117 0.000 0.406
4.138 0.000 4.091
12.082 0.000 0.000
19.329 0.000 4.546
20.350 0.000 8.231
```

Properties
DOS(E_F)   18.0 states/eV/cell
Formation energy   9.8 kJ per mole of atoms

no.,M_tot (μB/atom),V (A^3/atom)
1,0.000,21.644
2,0.000,18.077
3,0.000,20.836
4,0.000,26.204
5,0.106,66.604
6,0.000,37.098
7,0.000,38.745
8,0.000,44.244
9,0.000,27.954
10,0.083,16.818
11,0.672,13.046
12,0.000,33.722